[1]
# LaCrCo2 | Alexandria via LeMat-Bulk | PBEsol | relaxed
# magnetic moment	0.513	μB/f.u.
# density	9.12	g/cm³
# final energy	-7.1550	eV/atom
# SG	F-43m
data_LaCrCo2
_chemical_formula_sum 'La1 Cr1 Co2'
_space_group_name_H-M_alt 'P 1'
_space_group_IT_number 1
_cell_length_a 4.300
_cell_length_b 4.300
_cell_length_c 4.300
_cell_angle_alpha 60.00
_cell_angle_beta 60.00
_cell_angle_gamma 60.00
loop_
_space_group_symop_operation_xyz
'x,y,z'
loop_
_atom_site_label
_atom_site_type_symbol
_atom_site_fract_x
_atom_site_fract_y
_atom_site_fract_z
La1 La 0.250 0.250 0.250
Co1 Co 0.750 0.750 0.750
Co2 Co 0.000 0.000 0.000
Cr1 Cr 0.500 0.500 0.500

---

[2]
# CsSn2Au2 | Alexandria via LeMat-Bulk | PBEsol | relaxed
# magnetic moment	0.000	μB/f.u.
# density	9.33	g/cm³
# final energy	-3.6590	eV/atom
# SG	I4/mmm
data_CsSn2Au2
_chemical_formula_sum 'Cs1 Sn2 Au2'
_space_group_name_H-M_alt 'P 1'
_space_group_IT_number 1
_cell_length_a 4.876
_cell_length_b 4.876
_cell_length_c 6.677
_cell_angle_alpha 111.42
_cell_angle_beta 111.42
_cell_angle_gamma 90.00
loop_
_space_group_symop_operation_xyz
'x,y,z'
loop_
_atom_site_label
_atom_site_type_symbol
_atom_site_fract_x
_atom_site_fract_y
_atom_site_fract_z
Au1 Au 0.627 0.627 0.255
Au2 Au 0.373 0.373 0.745
Sn1 Sn 0.250 0.750 0.500
Sn2 Sn 0.750 0.250 0.500
Cs1 Cs 0.000 0.000 0.000

---

[3]
# Ag12Au17 | Alexandria via LeMat-Bulk | PBEsol | relaxed
# magnetic moment	0.000	μB/f.u.
# density	15.61	g/cm³
# final energy	-3.6221	eV/atom
# SG	I-43m
data_Ag12Au17
_chemical_formula_sum 'Ag12 Au17'
_space_group_name_H-M_alt 'P 1'
_space_group_IT_number 1
_cell_length_a 8.625
_cell_length_b 8.625
_cell_length_c 8.625
_cell_angle_alpha 109.47
_cell_angle_beta 109.47
_cell_angle_gamma 109.47
loop_
_space_group_symop_operation_xyz
'x,y,z'
loop_
_atom_site_label
_atom_site_type_symbol
_atom_site_fract_x
_atom_site_fract_y
_atom_site_fract_z
Au1 Au 0.309 0.583 0.000
Au2 Au 0.309 0.000 0.583
Au3 Au 0.000 0.000 0.332
Au4 Au 0.275 0.691 0.691
Au5 Au 0.000 0.332 0.000
Au6 Au 0.583 0.309 0.000
Au7 Au 0.417 0.417 0.725
Au8 Au 0.000 0.000 0.000
Au9 Au 0.000 0.309 0.583
Au10 Au 0.691 0.275 0.691
Au11 Au 0.417 0.725 0.417
Au12 Au 0.725 0.417 0.417
Au13 Au 0.000 0.583 0.309
Au14 Au 0.583 0.000 0.309
Au15 Au 0.668 0.668 0.668
Au16 Au 0.691 0.691 0.275
Au17 Au 0.332 0.000 0.000
Ag1 Ag 0.190 0.382 0.382
Ag2 Ag 0.618 0.808 0.000
Ag3 Ag 0.810 0.192 0.192
Ag4 Ag 0.808 0.618 0.000
Ag5 Ag 0.192 0.810 0.192
Ag6 Ag 0.808 0.000 0.618
Ag7 Ag 0.192 0.192 0.810
Ag8 Ag 0.382 0.382 0.190
Ag9 Ag 0.382 0.190 0.382
Ag10 Ag 0.000 0.808 0.618
Ag11 Ag 0.000 0.618 0.808
Ag12 Ag 0.618 0.000 0.808

---

[4]
# TiBe2Cr | Alexandria via LeMat-Bulk | PBEsol | relaxed
# magnetic moment	1.958	μB/f.u.
# density	4.41	g/cm³
# final energy	-6.6072	eV/atom
# SG	Fm-3m
data_TiBe2Cr
_chemical_formula_sum 'Ti1 Be2 Cr1'
_space_group_name_H-M_alt 'P 1'
_space_group_IT_number 1
_cell_length_a 3.974
_cell_length_b 3.974
_cell_length_c 3.974
_cell_angle_alpha 60.00
_cell_angle_beta 60.00
_cell_angle_gamma 60.00
loop_
_space_group_symop_operation_xyz
'x,y,z'
loop_
_atom_site_label
_atom_site_type_symbol
_atom_site_fract_x
_atom_site_fract_y
_atom_site_fract_z
Ti1 Ti 0.000 0.000 0.000
Be1 Be 0.750 0.750 0.750
Be2 Be 0.250 0.250 0.250
Cr1 Cr 0.500 0.500 0.500

---

[5]
# Zr2CoIr | Alexandria via LeMat-Bulk | PBEsol | relaxed
# magnetic moment	0.000	μB/f.u.
# density	9.34	g/cm³
# final energy	-8.9341	eV/atom
# SG	R3m
data_Zr2CoIr
_chemical_formula_sum 'Zr2 Co1 Ir1'
_space_group_name_H-M_alt 'P 1'
_space_group_IT_number 1
_cell_length_a 3.573
_cell_length_b 3.573
_cell_length_c 7.269
_cell_angle_alpha 75.77
_cell_angle_beta 75.77
_cell_angle_gamma 60.00
loop_
_space_group_symop_operation_xyz
'x,y,z'
loop_
_atom_site_label
_atom_site_type_symbol
_atom_site_fract_x
_atom_site_fract_y
_atom_site_fract_z
Co1 Co 0.511 0.511 0.467
Ir1 Ir 0.234 0.234 0.297
Zr1 Zr 0.779 0.779 0.663
Zr2 Zr 0.976 0.976 0.073

---

[6]
# LiCrAu | Alexandria via LeMat-Bulk | PBEsol | relaxed
# excess energy over the best structure of this formula in the dataset	0.1961	eV per atom
# magnetic moment	4.308	μB/f.u.
# density	7.49	g/cm³
# SG	F-43m
data_LiCrAu
_chemical_formula_sum 'Li1 Cr1 Au1'
_space_group_name_H-M_alt 'P 1'
_space_group_IT_number 1
_cell_length_a 4.313
_cell_length_b 4.313
_cell_length_c 4.313
_cell_angle_alpha 60.00
_cell_angle_beta 60.00
_cell_angle_gamma 60.00
loop_
_space_group_symop_operation_xyz
'x,y,z'
loop_
_atom_site_label
_atom_site_type_symbol
_atom_site_fract_x
_atom_site_fract_y
_atom_site_fract_z
Au1 Au 0.250 0.250 0.250
Li1 Li 0.500 0.500 0.500
Cr1 Cr 0.000 0.000 0.000

---

[7]
# Ta2PdS6 | Alexandria via LeMat-Bulk | PBEsol | relaxed
# magnetic moment	0.000	μB/f.u.
# density	6.37	g/cm³
# SG	C2/m
# uncorrected formation energy	-896	meV per atom
data_Ta2PdS6
_chemical_formula_sum 'Ta2 Pd1 S6'
_space_group_name_H-M_alt 'P 1'
_space_group_IT_number 1
_cell_length_a 3.234
_cell_length_b 6.204
_cell_length_c 9.167
_cell_angle_alpha 78.11
_cell_angle_beta 79.84
_cell_angle_gamma 74.89
loop_
_space_group_symop_operation_xyz
'x,y,z'
loop_
_atom_site_label
_atom_site_type_symbol
_atom_site_fract_x
_atom_site_fract_y
_atom_site_fract_z
S1 S 0.989 0.783 0.240
S2 S 0.011 0.217 0.760
S3 S 0.217 0.693 0.873
S4 S 0.661 0.216 0.461
S5 S 0.783 0.307 0.127
S6 S 0.339 0.784 0.539
Ta1 Ta 0.318 0.073 0.291
Ta2 Ta 0.682 0.927 0.709
Pd1 Pd 0.000 0.000 0.000

---

[8]
# Ti2SiGeS | Alexandria via LeMat-Bulk | PBEsol | relaxed
# magnetic moment	0.000	μB/f.u.
# density	4.13	g/cm³
# SG	P4/mmm
# uncorrected formation energy	123	meV per atom
data_Ti2SiGeS
_chemical_formula_sum 'Ti2 Si1 Ge1 S1'
_space_group_name_H-M_alt 'P 1'
_space_group_IT_number 1
_cell_length_a 4.444
_cell_length_b 4.444
_cell_length_c 4.647
_cell_angle_alpha 90.00
_cell_angle_beta 90.00
_cell_angle_gamma 90.00
loop_
_space_group_symop_operation_xyz
'x,y,z'
loop_
_atom_site_label
_atom_site_type_symbol
_atom_site_fract_x
_atom_site_fract_y
_atom_site_fract_z
Ti1 Ti 0.000 0.500 0.000
Ti2 Ti 0.500 0.000 0.000
S1 S 0.000 0.000 0.000
Ge1 Ge 0.000 0.000 0.500
Si1 Si 0.500 0.500 0.500

---

[9]
# Ba3GeSb | Alexandria via LeMat-Bulk | PBEsol | relaxed
# excess energy over the best structure of this formula in the dataset	0.0000	eV per atom
# magnetic moment	0.000	μB/f.u.
# density	4.44	g/cm³
# SG	Pm-3m
# uncorrected formation energy	-402	meV per atom
data_Ba3GeSb
_chemical_formula_sum 'Ba3 Ge1 Sb1'
_space_group_name_H-M_alt 'P 1'
_space_group_IT_number 1
_cell_length_a 6.096
_cell_length_b 6.096
_cell_length_c 6.096
_cell_angle_alpha 90.00
_cell_angle_beta 90.00
_cell_angle_gamma 90.00
loop_
_space_group_symop_operation_xyz
'x,y,z'
loop_
_atom_site_label
_atom_site_type_symbol
_atom_site_fract_x
_atom_site_fract_y
_atom_site_fract_z
Ge1 Ge 0.000 0.000 0.000
Ba1 Ba 0.000 0.000 0.500
Ba2 Ba 0.000 0.500 0.000
Ba3 Ba 0.500 0.000 0.000
Sb1 Sb 0.500 0.500 0.500

---

[10]
# Zn2BiI | Alexandria via LeMat-Bulk | PBEsol | relaxed
# magnetic moment	0.000	μB/f.u.
# density	8.11	g/cm³
# SG	Fm-3m
# uncorrected formation energy	342	meV per atom
data_Zn2BiI
_chemical_formula_sum 'Zn2 Bi1 I1'
_space_group_name_H-M_alt 'P 1'
_space_group_IT_number 1
_cell_length_a 5.131
_cell_length_b 5.131
_cell_length_c 5.131
_cell_angle_alpha 60.00
_cell_angle_beta 60.00
_cell_angle_gamma 60.00
loop_
_space_group_symop_operation_xyz
'x,y,z'
loop_
_atom_site_label
_atom_site_type_symbol
_atom_site_fract_x
_atom_site_fract_y
_atom_site_fract_z
Zn1 Zn 0.750 0.750 0.750
Zn2 Zn 0.250 0.250 0.250
Bi1 Bi 0.500 0.500 0.500
I1 I 0.000 0.000 0.000

---

[11]
# CuSbSe2 | Alexandria via LeMat-Bulk | PBEsol | relaxed
# magnetic moment	0.000	μB/f.u.
# density	6.23	g/cm³
# SG	Pnma
# uncorrected formation energy	-200	meV per atom
data_CuSbSe2
_chemical_formula_sum 'Cu4 Sb4 Se8'
_space_group_name_H-M_alt 'P 1'
_space_group_IT_number 1
_cell_length_a 3.965
_cell_length_b 6.309
_cell_length_c 14.638
_cell_angle_alpha 90.00
_cell_angle_beta 90.00
_cell_angle_gamma 90.00
loop_
_space_group_symop_operation_xyz
'x,y,z'
loop_
_atom_site_label
_atom_site_type_symbol
_atom_site_fract_x
_atom_site_fract_y
_atom_site_fract_z
Sb1 Sb 0.750 0.281 0.553
Sb2 Sb 0.250 0.219 0.053
Sb3 Sb 0.750 0.781 0.947
Sb4 Sb 0.250 0.719 0.447
Se1 Se 0.750 0.377 0.904
Se2 Se 0.250 0.380 0.675
Se3 Se 0.750 0.620 0.325
Se4 Se 0.250 0.123 0.404
Se5 Se 0.750 0.120 0.175
Se6 Se 0.250 0.623 0.096
Se7 Se 0.750 0.877 0.596
Se8 Se 0.250 0.880 0.825
Cu1 Cu 0.250 0.755 0.671
Cu2 Cu 0.250 0.255 0.829
Cu3 Cu 0.750 0.245 0.329
Cu4 Cu 0.750 0.745 0.171

---

[12]
# Tb6Fe23 | Alexandria via LeMat-Bulk | PBEsol | relaxed
# magnetic moment	42.670	μB/f.u.
# density	9.26	g/cm³
# final energy	-8.1524	eV/atom
# SG	Fm-3m
data_Tb6Fe23
_chemical_formula_sum 'Tb6 Fe23'
_space_group_name_H-M_alt 'P 1'
_space_group_IT_number 1
_cell_length_a 8.281
_cell_length_b 8.281
_cell_length_c 8.281
_cell_angle_alpha 60.00
_cell_angle_beta 60.00
_cell_angle_gamma 60.00
loop_
_space_group_symop_operation_xyz
'x,y,z'
loop_
_atom_site_label
_atom_site_type_symbol
_atom_site_fract_x
_atom_site_fract_y
_atom_site_fract_z
Tb1 Tb 0.791 0.791 0.209
Tb2 Tb 0.209 0.791 0.791
Tb3 Tb 0.791 0.209 0.791
Tb4 Tb 0.791 0.209 0.209
Tb5 Tb 0.209 0.791 0.209
Tb6 Tb 0.209 0.209 0.791
Fe1 Fe 0.378 0.378 0.378
Fe2 Fe 0.175 0.474 0.175
Fe3 Fe 0.825 0.825 0.825
Fe4 Fe 0.000 0.500 0.500
Fe5 Fe 0.825 0.526 0.825
Fe6 Fe 0.500 0.000 0.500
Fe7 Fe 0.000 0.500 0.000
Fe8 Fe 0.000 0.000 0.500
Fe9 Fe 0.622 0.133 0.622
Fe10 Fe 0.622 0.622 0.622
Fe11 Fe 0.133 0.622 0.622
Fe12 Fe 0.622 0.622 0.133
Fe13 Fe 0.500 0.500 0.000
Fe14 Fe 0.500 0.000 0.000
Fe15 Fe 0.526 0.825 0.825
Fe16 Fe 0.378 0.867 0.378
Fe17 Fe 0.825 0.825 0.526
Fe18 Fe 0.500 0.500 0.500
Fe19 Fe 0.474 0.175 0.175
Fe20 Fe 0.175 0.175 0.175
Fe21 Fe 0.867 0.378 0.378
Fe22 Fe 0.378 0.378 0.867
Fe23 Fe 0.175 0.175 0.474

---

- What is the density in the sixth record?
  7.49 g/cm³